No. 1
First-principles (PBE) data for a relaxed structure of CsLi2ZnI6, as listed in Alexandria.

The calculation puts the total energy at -24.33 eV per formula unit. As for the space group: C2/c (15). The volume is 1017.8 Å³ per cell. As for the uncorrected formation energy: -20.9 kcal/mol of atoms.

Lattice parameters (Å, degrees): 11.173 11.173 9.454 109.95 109.95 94.33
Positions (direct):
Cs (0.129, 0.871, 0.750)
Cs (0.871, 0.129, 0.250)
Li (0.254, 0.418, 0.940)
Li (0.418, 0.254, 0.440)
Li (0.582, 0.746, 0.560)
Li (0.746, 0.582, 0.060)
Zn (0.176, 0.824, 0.250)
Zn (0.824, 0.176, 0.750)
I (0.053, 0.201, 0.716)
I (0.155, 0.641, 0.977)
I (0.201, 0.053, 0.216)
I (0.350, 0.407, 0.688)
I (0.359, 0.845, 0.523)
I (0.407, 0.350, 0.188)
I (0.593, 0.650, 0.812)
I (0.641, 0.155, 0.477)
I (0.650, 0.593, 0.312)
I (0.799, 0.947, 0.784)
I (0.845, 0.359, 0.023)
I (0.947, 0.799, 0.284)

No. 2
First-principles (PBE) data for a relaxed structure of CsLiZn2I6, as listed in Alexandria.

The calculation puts the total energy at -23.32 eV per formula unit. As for the space group: C2/c (15). The volume is 951.4 Å³ per cell. As for the uncorrected formation energy: -20.1 kcal/mol of atoms.

Lattice parameters (Å, degrees): 11.154 11.154 8.044 101.76 101.76 94.59
Positions (direct):
Cs (0.118, 0.882, 0.750)
Cs (0.882, 0.118, 0.250)
Li (0.230, 0.770, 0.250)
Li (0.770, 0.230, 0.750)
Zn (0.235, 0.379, 0.819)
Zn (0.379, 0.235, 0.319)
Zn (0.621, 0.765, 0.681)
Zn (0.765, 0.621, 0.181)
I (0.035, 0.215, 0.732)
I (0.173, 0.598, 0.940)
I (0.215, 0.035, 0.232)
I (0.306, 0.416, 0.528)
I (0.402, 0.827, 0.560)
I (0.416, 0.306, 0.028)
I (0.584, 0.694, 0.972)
I (0.598, 0.173, 0.440)
I (0.694, 0.584, 0.472)
I (0.785, 0.965, 0.768)
I (0.827, 0.402, 0.060)
I (0.965, 0.785, 0.268)

No. 3
First-principles (PBE) data for a relaxed structure of CsLi3Zn4I12, as listed in Alexandria.

The calculation puts the total energy at -46.23 eV per formula unit. As for the space group: R32 (155). The volume is 851.9 Å³ per cell. As for the uncorrected formation energy: -18.4 kcal/mol of atoms.

Lattice parameters (Å, degrees): 9.954 9.954 9.954 105.54 105.54 105.54
Positions (direct):
Cs (0.000, 0.000, 0.000)
Li (0.000, 0.553, 0.447)
Li (0.447, 0.000, 0.553)
Li (0.553, 0.447, 0.000)
Zn (0.065, 0.500, 0.935)
Zn (0.500, 0.500, 0.500)
Zn (0.500, 0.935, 0.065)
Zn (0.935, 0.065, 0.500)
I (0.052, 0.652, 0.766)
I (0.097, 0.903, 0.500)
I (0.234, 0.348, 0.948)
I (0.339, 0.661, 0.500)
I (0.348, 0.948, 0.234)
I (0.500, 0.097, 0.903)
I (0.500, 0.339, 0.661)
I (0.652, 0.766, 0.052)
I (0.661, 0.500, 0.339)
I (0.766, 0.052, 0.652)
I (0.903, 0.500, 0.097)
I (0.948, 0.234, 0.348)

No. 4
First-principles (PBE) data for a relaxed structure of CsLiZrI6, as listed in Alexandria.

The calculation puts the total energy at -30.66 eV per formula unit. As for the space group: P-31c (163). The volume is 886.2 Å³ per cell. As for the uncorrected formation energy: -25.7 kcal/mol of atoms.

Lattice parameters (Å, degrees): 7.666 7.666 17.413 90.00 90.00 120.00
Positions (direct):
Cs (0.000, 0.000, 0.000)
Cs (0.000, 0.000, 0.500)
Li (0.333, 0.667, 0.250)
Li (0.667, 0.333, 0.750)
Zr (0.333, 0.667, 0.750)
Zr (0.667, 0.333, 0.250)
I (0.012, 0.377, 0.654)
I (0.012, 0.635, 0.846)
I (0.365, 0.377, 0.846)
I (0.365, 0.988, 0.654)
I (0.377, 0.012, 0.154)
I (0.377, 0.365, 0.346)
I (0.623, 0.635, 0.654)
I (0.623, 0.988, 0.846)
I (0.635, 0.012, 0.346)
I (0.635, 0.623, 0.154)
I (0.988, 0.365, 0.154)
I (0.988, 0.623, 0.346)

No. 5
First-principles (PBE) data for a relaxed structure of Cs2MgI2, as listed in Alexandria.

The calculation puts the total energy at -11.13 eV per formula unit. As for the space group: P4/mbm (127). The volume is 543.0 Å³ per cell. Its energy above the most stable polymorph in this dataset is 0.0 meV/atom. As for the uncorrected formation energy: -21.8 kcal/mol of atoms.

Lattice parameters (Å, degrees): 10.569 10.569 4.861 90.00 90.00 90.00
Positions (direct):
Cs (0.150, 0.350, 0.000)
Cs (0.350, 0.850, 0.000)
Cs (0.650, 0.150, 0.000)
Cs (0.850, 0.650, 0.000)
Mg (0.000, 0.000, 0.500)
Mg (0.500, 0.500, 0.500)
I (0.149, 0.649, 0.500)
I (0.351, 0.149, 0.500)
I (0.649, 0.851, 0.500)
I (0.851, 0.351, 0.500)

No. 6
First-principles (PBE) data for a relaxed structure of Cs2Mg2I7, as listed in Alexandria.

The calculation puts the total energy at -27.20 eV per formula unit. As for the space group: C2/m (12). The volume is 691.7 Å³ per cell. As for the uncorrected formation energy: -24.0 kcal/mol of atoms.

Lattice parameters (Å, degrees): 10.477 10.477 6.958 95.25 95.25 113.28
Positions (direct):
Cs (0.208, 0.792, 0.000)
Cs (0.792, 0.208, 0.000)
Mg (0.296, 0.296, 0.664)
Mg (0.704, 0.704, 0.336)
I (0.094, 0.094, 0.355)
I (0.144, 0.410, 0.852)
I (0.410, 0.144, 0.852)
I (0.500, 0.500, 0.500)
I (0.590, 0.856, 0.148)
I (0.856, 0.590, 0.148)
I (0.906, 0.906, 0.645)